Crystalline PmTm2Pd2 at its relaxed geometry. Source: Alexandria via LeMat-Bulk, functional PBE-GGA.

- ΔE_f (meV/atom) = -713
- spin magnetization (μB/cell) = 0.0
- offset from the most stable computed form (meV per atom) = 0

POSCAR file:
```
PmTm2Pd2
1.0
7.864 0.000 0.000
0.000 7.864 0.000
0.000 0.000 3.858
Pm Tm Pd
2 4 4
Cartesian
0.000 0.000 0.000
3.932 3.932 0.000
1.271 2.661 1.929
2.661 6.593 1.929
5.204 1.271 1.929
6.593 5.204 1.929
1.032 4.964 0.000
2.900 1.032 0.000
4.964 6.832 0.000
6.832 2.900 0.000
```

=====

Crystalline PmTm2Pd at its relaxed geometry. Source: Alexandria via LeMat-Bulk, functional PBE-GGA.

- ΔE_f (meV/atom) = -461
- spin magnetization (μB/cell) = 0.0
- offset from the most stable computed form (meV per atom) = 13

POSCAR file:
```
PmTm2Pd
1.0
3.737 0.000 0.000
0.000 9.130 0.000
-1.861 0.000 6.292
Pm Tm Pd
2 4 2
Cartesian
-0.001 2.282 0.713
1.877 6.847 5.578
0.007 0.539 4.558
0.007 4.026 4.558
1.868 5.103 1.733
1.868 8.591 1.733
0.001 6.847 3.010
1.875 2.282 3.282
```